1.
The following is a DFT calculation (PBE) of a geometry-optimized In12Sn2Hg7 structure.

## Properties
V	576.6	Å³/cell
ΔE_f	0.6	eV/f.u.
energy	-2.02	eV per atom
mass density	8.70	g/cm³

The structure in POSCAR format:
```
In12Sn2Hg7
1.0
7.703 0.000 0.000
-2.962 8.285 0.000
-0.087 -2.055 9.035
In Sn Hg
12 2 7
Direct
0.000 0.000 0.000
0.000 0.398 0.534
0.074 0.758 0.448
0.107 0.602 0.873
0.352 0.581 0.224
0.383 0.976 0.829
0.432 0.409 0.760
0.433 0.086 0.496
0.572 0.762 0.972
0.632 0.446 0.414
0.694 0.114 0.209
0.750 0.920 0.445
0.073 0.102 0.698
0.412 0.681 0.579
0.172 0.206 0.322
0.267 0.889 0.164
0.481 0.303 0.058
0.744 0.237 0.767
0.820 0.662 0.161
0.825 0.707 0.719
0.975 0.364 0.075
```

=====

2.
The following is a DFT calculation (PBE) of a geometry-optimized Ca3Th2ZrSb6 structure.

## Properties
uncorrected formation energy	-906	meV/atom
V	378.6	Å³/cell
energy	-5.42	eV per atom
mass density	6.17	g/cm³

The structure in POSCAR format:
```
Ca3Th2ZrSb6
1.0
3.854 -6.683 0.000
3.854 6.683 0.000
-2.588 0.000 7.349
Ca Th Zr Sb
3 2 1 6
Direct
0.000 0.000 0.000
0.328 0.672 0.000
0.672 0.328 0.000
0.165 0.835 0.500
0.835 0.165 0.500
0.500 0.500 0.500
0.103 0.421 0.262
0.264 0.264 0.741
0.421 0.103 0.262
0.579 0.897 0.738
0.736 0.736 0.259
0.897 0.579 0.738
```

=====

3.
The following is a DFT calculation (PBE) of a geometry-optimized LaAl2Tl structure.

## Properties
offset from the most stable computed form	318	meV/atom
V	454.7	Å³/cell
ΔE_f	0.2	eV/f.u.
energy	-3.65	eV per atom
mass density	5.80	g/cm³

The structure in POSCAR format:
```
LaAl2Tl
1.0
4.794 0.000 0.000
0.000 4.794 0.000
0.000 0.000 19.788
La Al Tl
4 8 4
Direct
0.000 0.000 0.000
0.000 0.500 0.250
0.500 0.000 0.750
0.500 0.500 0.500
0.116 0.250 0.625
0.250 0.616 0.875
0.250 0.884 0.375
0.384 0.250 0.125
0.616 0.750 0.125
0.750 0.116 0.375
0.750 0.384 0.875
0.884 0.750 0.625
0.000 0.000 0.500
0.000 0.500 0.750
0.500 0.000 0.250
0.500 0.500 0.000
```

=====

4.
The following is a DFT calculation (PBE) of a geometry-optimized MgScB structure.

## Properties
offset from the most stable computed form	401	meV/atom
V	184.1	Å³/cell
ΔE_f	-0.1	eV/f.u.
energy	-4.89	eV per atom
mass density	2.89	g/cm³

The structure in POSCAR format:
```
MgScB
1.0
6.404 0.000 0.000
0.000 3.819 0.000
0.000 0.000 7.529
Mg Sc B
4 4 4
Direct
0.148 0.250 0.062
0.352 0.750 0.562
0.648 0.250 0.438
0.852 0.750 0.938
0.024 0.250 0.672
0.476 0.750 0.172
0.524 0.250 0.828
0.976 0.750 0.328
0.237 0.250 0.384
0.263 0.750 0.884
0.737 0.250 0.116
0.763 0.750 0.616
```

=====

5.
The following is a DFT calculation (PBE) of a geometry-optimized SbHBr2 structure.

## Properties
offset from the most stable computed form	233	meV/atom
V	354.0	Å³/cell
energy	-2.24	eV per atom
mass density	5.30	g/cm³

The structure in POSCAR format:
```
SbHBr2
1.0
7.074 0.000 0.000
0.000 7.074 0.000
0.000 0.000 7.074
Sb H Br
4 4 8
Direct
0.000 0.000 0.000
0.000 0.500 0.500
0.500 0.000 0.500
0.500 0.500 0.000
0.000 0.000 0.500
0.000 0.500 0.000
0.500 0.000 0.000
0.500 0.500 0.500
0.250 0.250 0.250
0.250 0.250 0.750
0.250 0.750 0.250
0.250 0.750 0.750
0.750 0.250 0.250
0.750 0.250 0.750
0.750 0.750 0.250
0.750 0.750 0.750
```

=====

6.
The following is a DFT calculation (PBE) of a geometry-optimized CoTcPt3 structure.

## Properties
offset from the most stable computed form	370	meV/atom
V	108.4	Å³/cell
ΔE_f	7.9	eV/f.u.
energy	-5.55	eV per atom
mass density	11.36	g/cm³

The structure in POSCAR format:
```
CoTcPt3
1.0
4.769 0.000 0.000
0.000 4.769 0.000
0.000 0.000 4.769
Co Tc Pt
1 1 3
Direct
0.000 0.000 0.000
0.500 0.500 0.500
0.000 0.500 0.500
0.500 0.000 0.500
0.500 0.500 0.000
```

=====

7.
The following is a DFT calculation (PBE) of a geometry-optimized Cd4AgPt structure.

## Properties
offset from the most stable computed form	33	meV/atom
V	261.3	Å³/cell
ΔE_f	-0.5	eV/f.u.
energy	-2.18	eV per atom
mass density	9.57	g/cm³

The structure in POSCAR format:
```
Cd4AgPt
1.0
3.595 -4.891 0.000
3.595 4.891 0.000
-3.420 0.000 7.430
Cd Ag Pt
8 2 2
Direct
0.019 0.777 0.548
0.223 0.981 0.952
0.263 0.521 0.049
0.479 0.737 0.451
0.521 0.263 0.549
0.737 0.479 0.951
0.777 0.019 0.048
0.981 0.223 0.452
0.375 0.625 0.750
0.625 0.375 0.250
0.126 0.874 0.250
0.874 0.126 0.750
```

=====

8.
The following is a DFT calculation (PBE) of a geometry-optimized Li3HfB structure.

## Properties
offset from the most stable computed form	1542	meV/atom
V	145.6	Å³/cell
ΔE_f	11.0	eV/f.u.
energy	-2.28	eV per atom
mass density	2.40	g/cm³

The structure in POSCAR format:
```
Li3HfB
1.0
5.261 0.000 0.000
0.000 5.261 0.000
0.000 0.000 5.261
Li Hf B
3 1 1
Direct
0.000 0.000 0.500
0.000 0.500 0.000
0.500 0.000 0.000
0.000 0.000 0.000
0.500 0.500 0.500
```

=====

9.
The following is a DFT calculation (PBE) of a geometry-optimized TaMn2Cr2 structure.

## Properties
V	127.7	Å³/cell
ΔE_f	1.1	eV/f.u.
energy	-9.68	eV per atom
mass density	10.27	g/cm³

The structure in POSCAR format:
```
TaMn2Cr2
1.0
6.875 0.000 0.000
0.000 6.875 0.000
0.000 0.000 2.702
Ta Mn Cr
2 4 4
Direct
0.000 0.000 0.000
0.500 0.500 0.000
0.142 0.358 0.000
0.358 0.858 0.000
0.642 0.142 0.000
0.858 0.642 0.000
0.153 0.653 0.500
0.347 0.153 0.500
0.653 0.847 0.500
0.847 0.347 0.500
```

=====

10.
The following is a DFT calculation (PBE) of a geometry-optimized CdAgHg2 structure.

## Properties
V	271.5	Å³/cell
ΔE_f	0.2	eV/f.u.
energy	-1.05	eV per atom
mass density	11.40	g/cm³

The structure in POSCAR format:
```
CdAgHg2
1.0
3.135 0.000 0.000
-1.567 2.715 0.000
0.000 0.000 31.899
Cd Ag Hg
3 3 6
Direct
0.000 0.000 0.000
0.333 0.667 0.667
0.667 0.333 0.333
0.000 0.000 0.259
0.333 0.667 0.925
0.667 0.333 0.592
0.000 0.000 0.515
0.000 0.000 0.756
0.333 0.667 0.181
0.333 0.667 0.423
0.667 0.333 0.090
0.667 0.333 0.848
```

=====

11.
The following is a DFT calculation (PBE) of a geometry-optimized Ca2Pm3Hg2 structure.

## Properties
V	455.8	Å³/cell
ΔE_f	-1.5	eV/f.u.
energy	-2.91	eV per atom
mass density	6.68	g/cm³

The structure in POSCAR format:
```
Ca2Pm3Hg2
1.0
12.023 0.000 0.000
0.000 4.731 0.000
-3.331 0.000 8.014
Ca Pm Hg
4 6 4
Direct
0.146 0.000 0.297
0.354 0.500 0.703
0.646 0.500 0.297
0.854 0.000 0.703
0.000 0.500 0.500
0.126 0.500 0.952
0.374 0.000 0.048
0.500 0.000 0.500
0.626 0.000 0.952
0.874 0.500 0.048
0.157 0.000 0.706
0.343 0.500 0.294
0.657 0.500 0.706
0.843 0.000 0.294
```

=====

12.
The following is a DFT calculation (PBE) of a geometry-optimized Li2GaTeN structure.

## Properties
uncorrected formation energy	723	meV/atom
V	163.3	Å³/cell
energy	-2.94	eV per atom
mass density	2.29	g/cm³

The structure in POSCAR format:
```
Li2GaTeN
1.0
5.036 0.000 0.000
0.000 5.036 0.000
0.000 0.000 6.439
Li Ga Te N
2 1 1 1
Direct
0.000 0.500 0.000
0.500 0.000 0.000
0.000 0.000 0.500
0.000 0.000 0.000
0.500 0.500 0.500
```